# 1
Entry from Alexandria: a relaxed structure of Gd2MnOs (GGA-PBE).

It has space group P4/mmm (No. 123), with a = 3.4531 Å, b = 3.4531 Å, c = 7.2385 Å, α = 90.00°, β = 90.00° and γ = 90.00°. The inequivalent atoms are Gd at (0.0000, 0.0000, 0.2341), Mn at (0.5000, 0.5000, 0.5000) and Os at (0.5000, 0.5000, 0.0000).

The calculation puts the density at 10.77 Mg/m³. As for the formation enthalpy at 0 K: 49 meV per atom. The calculation puts the total energy at -12.092 eV per atom. The energy above the most stable polymorph in this dataset is 0 meV/atom.



# 2
Entry from Alexandria: a relaxed structure of InFeTc (GGA-PBE).

It has space group I4mm (No. 107), with a = 2.9225 Å, b = 2.9225 Å, c = 10.8625 Å, α = 90.00°, β = 90.00° and γ = 90.00°. The inequivalent atoms are In at (0.0000, 0.0000, 0.0000), Fe at (0.0000, 0.0000, 0.6790) and Tc at (0.0000, 0.0000, 0.3059).

The calculation puts the density at 9.62 Mg/m³. As for the formation enthalpy at 0 K: 182 meV per atom. The calculation puts the total energy at -7.007 eV per atom. The energy above the most stable polymorph in this dataset is 0 meV/atom.



# 3
Entry from Alexandria: a relaxed structure of CaDy2Tl2 (GGA-PBE).

It has space group Cmcm (No. 63), with a = 3.7715 Å, b = 28.4774 Å, c = 5.4372 Å, α = 90.00°, β = 90.00° and γ = 90.00°. The inequivalent atoms are Ca at (0.0000, 0.1476, 0.2500), Dy at (0.0000, 0.0503, 0.7500), Dy at (0.0000, 0.2342, 0.7500), Tl at (0.0000, 0.3563, 0.2500) and Tl at (0.0000, 0.4529, 0.7500).

The calculation puts the density at 8.80 Mg/m³. As for the formation enthalpy at 0 K: -295 meV per atom. The calculation puts the total energy at -3.483 eV per atom. The energy above the most stable polymorph in this dataset is 0 meV/atom.